Density functional theory data (PBE) for crystalline KTlZn2Pt at its relaxed geometry.

a = 5.022 Å, b = 5.022 Å, c = 5.269 Å
α = 90.00°, β = 90.00°, γ = 90.00°
Fractional coordinates of all 5 atoms:
1 Pt 0.000 0.000 0.000
2 K 0.500 0.500 0.500
3 Zn 0.500 0.000 0.000
4 Tl 0.000 0.000 0.500
5 Zn 0.000 0.500 0.000

Properties
Raw total energy, eV per atom: -2.607
ΔE_f, eV/atom: -0.20

***

Density functional theory data (PBE) for crystalline CaCd6Au12 at its relaxed geometry.

a = 7.493 Å, b = 7.493 Å, c = 7.493 Å
α = 101.65°, β = 101.65°, γ = 101.65°
Fractional coordinates of all 19 atoms:
1 Cd 0.794 0.836 0.557
2 Au 0.266 0.986 0.758
3 Au 0.183 0.573 0.617
4 Au 0.573 0.617 0.183
5 Au 0.014 0.242 0.734
6 Au 0.817 0.427 0.383
7 Au 0.242 0.734 0.014
8 Cd 0.557 0.794 0.836
9 Cd 0.206 0.164 0.443
10 Au 0.734 0.014 0.242
11 Ca 0.000 0.000 0.000
12 Au 0.617 0.183 0.573
13 Au 0.758 0.266 0.986
14 Au 0.383 0.817 0.427
15 Cd 0.836 0.557 0.794
16 Cd 0.164 0.443 0.206
17 Au 0.986 0.758 0.266
18 Au 0.427 0.383 0.817
19 Cd 0.443 0.206 0.164

Properties
Raw total energy, eV per atom: -2.606
ΔE_f, eV/atom: -0.14

***

Density functional theory data (PBE) for crystalline HfTeP2Se at its relaxed geometry.

a = 5.053 Å, b = 5.063 Å, c = 5.053 Å
α = 90.00°, β = 90.00°, γ = 90.00°
Fractional coordinates of all 5 atoms:
1 Se 0.000 0.500 0.000
2 P 0.500 0.000 0.000
3 Hf 0.000 0.000 0.000
4 P 0.000 0.000 0.500
5 Te 0.500 0.500 0.500

Properties
Raw total energy, eV per atom: -5.227
Raw formation energy, eV/f.u.: 1.3

***

Density functional theory data (PBE) for crystalline TiAgTe2 at its relaxed geometry.

a = 9.075 Å, b = 9.075 Å, c = 9.075 Å
α = 24.11°, β = 24.11°, γ = 24.11°
Fractional coordinates of all 4 atoms:
1 Te 0.898 0.898 0.898
2 Te 0.102 0.102 0.102
3 Ti 0.500 0.500 0.500
4 Ag 0.000 0.000 0.000

Properties
Raw total energy, eV per atom: -4.641
Raw formation energy, eV/f.u.: -1.5